[1]
Entry from OQMD: a geometry-optimized LiErHgTe3 structure (PBE).

Output
Volume in Å³/atom: 30.2
Energy in eV per atom: -3.493
Crystal system: orthorhombic

abc: 7.621 7.621 11.550
angles: 90.00 90.00 147.29
Element x y z (fractional)
Li1 0.197 0.803 0.750
Li2 0.803 0.197 0.250
Er1 0.000 0.000 0.000
Er2 0.000 0.000 0.500
Hg1 0.476 0.524 0.250
Hg2 0.524 0.476 0.750
Te1 0.103 0.897 0.250
Te2 0.356 0.644 0.059
Te3 0.356 0.644 0.441
Te4 0.644 0.356 0.559
Te5 0.644 0.356 0.941
Te6 0.897 0.103 0.750

[2]
Entry from OQMD: a geometry-optimized LiErTlHg structure (PBE).

Output
Volume in Å³/atom: 22.9
Energy in eV per atom: -2.660
Crystal system: cubic

abc: 5.059 5.059 5.059
angles: 60.00 60.00 60.00
Element x y z (fractional)
Li1 0.000 0.000 0.000
Er1 0.500 0.500 0.500
Tl1 0.750 0.750 0.750
Hg1 0.250 0.250 0.250

[3]
Entry from OQMD: a geometry-optimized ErLuHg6 structure (PBE).

Output
Formation enthalpy at 0 K in meV per atom: -302
Volume in Å³/atom: 23.2
Energy in eV per atom: -1.661
Crystal system: hexagonal

abc: 6.555 6.555 4.978
angles: 90.00 90.00 120.00
Element x y z (fractional)
Er1 0.000 0.000 0.000
Lu1 0.333 0.667 0.500
Hg1 0.003 0.501 0.000
Hg2 0.333 0.166 0.500
Hg3 0.499 0.501 0.000
Hg4 0.499 0.997 0.000
Hg5 0.834 0.166 0.500
Hg6 0.834 0.667 0.500

Repeat the second record exactly.
Entry from OQMD: a geometry-optimized LiErTlHg structure (PBE).

Output
Volume in Å³/atom: 22.9
Energy in eV per atom: -2.660
Crystal system: cubic

abc: 5.059 5.059 5.059
angles: 60.00 60.00 60.00
Element x y z (fractional)
Li1 0.000 0.000 0.000
Er1 0.500 0.500 0.500
Tl1 0.750 0.750 0.750
Hg1 0.250 0.250 0.250